A relaxed structure of PrSb2Pt5. Source: Alexandria, functional PBE.

Geometry as extended XYZ:
```
8
Lattice="4.155 0.000 0.000 2.077 6.578 0.932 2.077 2.124 6.295" Properties=species:S:1:pos:R:3 pbc="T T T"
Pt 4.155 2.372 3.823
Pr 0.000 0.000 0.000
Pt 2.077 4.351 3.613
Pt 4.155 6.331 3.404
Sb 2.077 2.277 1.891
Pt 4.155 4.509 5.598
Pt 4.155 4.194 1.629
Sb 6.232 6.425 5.336
```

The value obtained for the calculated density is 13.78 g/cm3. The value obtained for the energy is -5.96 eV per atom. The calculation puts the spin magnetization at 0.00 μB/atom. The symmetry is Immm. Its formation energy from raw total energies is -0.558 eV/atom.